No. 1
Compound: SmTmHgTe
Source: Alexandria via LeMat-Bulk
Functional: PBE
Structure: optimized geometry

Output
- ΔE_f (raw): -849 meV/atom
- Total magnetization: 0.00 μB per atom
- Total energy: -4.007 eV per atom
- SG: R3m, No. 160

abc: 8.1503 8.1503 8.1503
angles: 29.63 29.63 29.63
With the nearest neighbours (Å) after each atom.
Element x y z (fractional)
Sm  0.0000  0.0000  0.0000  3 Hg 3.13, 3 Te 3.15
Tm  0.4986  0.4986  0.4986  3 Hg 3.04, 3 Te 3.06
Hg  0.7525  0.7525  0.7525  3 Tm 3.04, 3 Sm 3.13
Te  0.2461  0.2461  0.2461  3 Tm 3.06, 3 Sm 3.15

No. 2
Compound: AcEuGd
Source: Alexandria via LeMat-Bulk
Functional: PBE
Structure: optimized geometry

Output
- ΔH_f (0 K): 0.0435 eV per atom
- Total magnetization: 0.05 μB per atom
- Total energy: -9.444 eV per atom
- SG: P3m1, No. 156

abc: 3.8397 3.8397 9.2808
angles: 90.00 90.00 120.00
With the nearest neighbours (Å) after each atom.
Element x y z (fractional)
Ac  0.0000  0.0000  0.0000  3 Gd 3.68, 6 Ac 3.84, 3 Eu 3.95
Eu  0.6667  0.3333  0.3522  3 Gd 3.79, 6 Eu 3.84, 3 Ac 3.95
Gd  0.3333  0.6667  0.6829  3 Ac 3.68, 3 Eu 3.79, 6 Gd 3.84

No. 3
Compound: PmDy2CdRh4
Source: Alexandria via LeMat-Bulk
Functional: PBE
Structure: optimized geometry

Output
- ΔH_f (0 K): -0.6926 eV per atom
- Total magnetization: 0.00 μB per atom
- Total energy: -6.227 eV per atom
- SG: R-3m, No. 166

abc: 8.3053 8.3053 8.3053
angles: 33.60 33.60 33.60
With the nearest neighbours (Å) after each atom.
Element x y z (fractional)
Pm  0.0000  0.0000  0.0000  8 Rh 2.89-2.95
Dy  0.2424  0.2424  0.2424  7 Rh 2.81-2.99
Dy  0.7576  0.7576  0.7576  7 Rh 2.81-2.99
Cd  0.5000  0.5000  0.5000  8 Rh 2.90-2.96
Rh  0.1230  0.1230  0.1230  4 Dy 2.81-2.87, 1 Pm 2.89, 3 Cd 2.96
Rh  0.3764  0.3764  0.3764  1 Cd 2.90, 3 Pm 2.95, 4 Dy 2.99-3.15
Rh  0.6236  0.6236  0.6236  1 Cd 2.90, 3 Pm 2.95, 4 Dy 2.99-3.15
Rh  0.8770  0.8770  0.8770  4 Dy 2.81-2.87, 1 Pm 2.89, 3 Cd 2.96

No. 4
Compound: ErZr2P3
Source: Alexandria via LeMat-Bulk
Functional: PBE
Structure: optimized geometry

Output
- ΔH_f (0 K): -1.4086 eV per atom
- Total magnetization: 0.00 μB per atom
- Total energy: -7.723 eV per atom
- SG: I4/mmm, No. 139

abc: 8.5201 8.5201 8.5201
angles: 154.13 154.13 36.90
With the nearest neighbours (Å) after each atom.
Element x y z (fractional)
Er  0.0000  0.0000  0.0000  6 P 2.70-2.74
Zr  0.3333  0.3333  0.0000  6 P 2.65-2.70
Zr  0.6667  0.6667  0.0000  6 P 2.65-2.70
P  0.1696  0.1696  0.0000  5 Zr 2.65-2.70, 1 Er 2.74
P  0.5000  0.5000  0.0000  2 Zr 2.69, 4 Er 2.70
P  0.8304  0.8304  0.0000  5 Zr 2.65-2.70, 1 Er 2.74

No. 5
Compound: PuHf2N4
Source: Alexandria via LeMat-Bulk
Functional: PBE
Structure: optimized geometry

Output
- ΔE_f (raw): -1390 meV/atom
- Total magnetization: 0.57 μB per atom
- Total energy: -11.039 eV per atom
- SG: I4_1/amd, No. 141
- Offset from the most stable computed form: 2.59 kcal/mol of atoms

abc: 6.5377 6.5377 6.5377
angles: 119.92 119.92 90.14
With the nearest neighbours (Å) after each atom.
Element x y z (fractional)
Pu  0.3750  0.6250  0.7500  4 N 2.21
Pu  0.6250  0.3750  0.2500  4 N 2.21
Hf  0.0000  0.0000  0.0000  6 N 2.20
Hf  0.0000  0.0000  0.5000  6 N 2.20
Hf  0.0000  0.5000  0.0000  6 N 2.20
Hf  0.5000  0.0000  0.5000  6 N 2.20
N  0.2119  0.2376  0.9743  3 Hf 2.20, 1 Pu 2.21
N  0.2367  0.7624  0.4743  3 Hf 2.20, 1 Pu 2.21
N  0.2376  0.2119  0.4743  3 Hf 2.20, 1 Pu 2.21
N  0.2376  0.7633  0.0257  3 Hf 2.20, 1 Pu 2.21
N  0.7624  0.2367  0.9743  3 Hf 2.20, 1 Pu 2.21
N  0.7624  0.7881  0.5257  3 Hf 2.20, 1 Pu 2.21
N  0.7633  0.2376  0.5257  3 Hf 2.20, 1 Pu 2.21
N  0.7881  0.7624  0.0257  3 Hf 2.20, 1 Pu 2.21

No. 6
Compound: LuPaPb2
Source: Alexandria via LeMat-Bulk
Functional: PBE
Structure: optimized geometry

Output
- ΔH_f (0 K): -0.0303 eV per atom
- Total magnetization: 0.00 μB per atom
- Total energy: -5.389 eV per atom
- SG: R-3m, No. 166
- Offset from the most stable computed form: 1.52 kcal/mol of atoms

abc: 5.9380 5.9380 5.9380
angles: 50.06 50.06 50.06
With the nearest neighbours (Å) after each atom.
Element x y z (fractional)
Lu  0.0000  0.0000  0.0000  6 Pb 3.14
Pa  0.5000  0.5000  0.5000  6 Pb 3.21
Pb  0.2554  0.2554  0.2554  3 Lu 3.14, 3 Pa 3.21
Pb  0.7446  0.7446  0.7446  3 Lu 3.14, 3 Pa 3.21

No. 7
Compound: Pr4NiTe
Source: Alexandria via LeMat-Bulk
Functional: PBE
Structure: optimized geometry

Output
- ΔE_f (raw): -414 meV/atom
- Total magnetization: 0.00 μB per atom
- Total energy: -5.087 eV per atom
- SG: P2_1/c, No. 14

abc: 7.3529 7.3945 7.2833
angles: 90.00 92.13 90.00
With the nearest neighbours (Å) after each atom.
Element x y z (fractional)
Pr  0.1394  0.1660  0.1846  2 Ni 2.83-2.98
Pr  0.1394  0.3340  0.6846  2 Ni 2.83-2.98
Pr  0.3291  0.6372  0.1259  1 Ni 2.75
Pr  0.3291  0.8628  0.6259  1 Ni 2.75
Pr  0.6709  0.1372  0.3741  1 Ni 2.75
Pr  0.6709  0.3628  0.8741  1 Ni 2.75
Pr  0.8606  0.6660  0.3154  2 Ni 2.83-2.98
Pr  0.8606  0.8340  0.8154  2 Ni 2.83-2.98
Ni  0.0000  0.0000  0.5000  6 Pr 2.75-2.98
Ni  0.0000  0.5000  0.0000  6 Pr 2.75-2.98
Te  0.5000  0.0000  0.0000  6 Pr 3.12-3.26
Te  0.5000  0.5000  0.5000  6 Pr 3.12-3.26

No. 8
Compound: CsPuI2F
Source: Alexandria via LeMat-Bulk
Functional: PBE
Structure: optimized geometry

Output
- ΔE_f (raw): -1815 meV/atom
- Total magnetization: 1.20 μB per atom
- Total energy: -5.846 eV per atom
- SG: P4/mmm, No. 123

abc: 6.4838 6.4838 4.6791
angles: 90.00 90.00 90.00
With the nearest neighbours (Å) after each atom.
Element x y z (fractional)
Cs  0.0000  0.0000  0.0000  8 I 4.00
Pu  0.5000  0.5000  0.5000  2 F 2.34
I  0.0000  0.5000  0.5000  2 Pu 3.24
I  0.5000  0.0000  0.5000  2 Pu 3.24
F  0.5000  0.5000  0.0000  2 Pu 2.34